Entry 1:
PmAlCu: optimized geometry, PBE.

Results
Energy of formation from the pure elements = -19 kJ/mol of atoms
ΔE to the lowest computed polymorph = 170 meV/atom
SG = I4mm, No. 107
Crystal system = tetragonal
Density of states at the Fermi level = 0.85 states/eV per atom

Cell and atoms, written as POSCAR:
```
PmAlCu
1.0
-1.6198 1.6198 5.6710
1.6198 -1.6198 5.6710
1.6198 1.6198 -5.6710
Pm Al Cu
1 1 1
Direct
0.0000 0.0000 0.0000 Pm
0.2973 0.2973 0.0000 Al
0.6891 0.6891 0.0000 Cu
```

=====

Entry 2:
NbAlN2: optimized geometry, PBE.

Results
SG = R-3m, No. 166
Crystal system = trigonal
Formation energy from raw total energies = -600.3 meV per atom
Density of states at the Fermi level = 0.23 states/eV per atom

Cell and atoms, written as POSCAR:
```
NbAlN2
1.0
1.5486 0.8941 6.1551
-1.5486 0.8941 6.1551
0.0000 -1.7882 6.1551
Nb Al N
1 1 2
Direct
0.0000 0.0000 0.0000 Nb
0.5000 0.5000 0.5000 Al
0.3970 0.3970 0.3970 N
0.6030 0.6030 0.6030 N
```

=====

Entry 3:
PbAu2I: optimized geometry, PBE.

Results
ΔE to the lowest computed polymorph = 0 meV/atom
SG = I-42d, No. 122
Crystal system = tetragonal
Formation energy from raw total energies = 111.5 meV per atom
Density of states at the Fermi level = 0.35 states/eV per atom

Cell and atoms, written as POSCAR:
```
PbAu2I
1.0
-4.0418 4.0418 3.2830
4.0418 -4.0418 3.2830
4.0418 4.0418 -3.2830
Pb Au I
2 4 2
Direct
0.0000 0.0000 0.0000 Pb
0.7500 0.2500 0.5000 Pb
0.1148 0.6250 0.9898 Au
0.3750 0.3648 0.4898 Au
0.6352 0.1250 0.0102 Au
0.8750 0.8852 0.5102 Au
0.2500 0.7500 0.5000 I
0.5000 0.5000 0.0000 I
```

=====

Entry 4:
Ba3GaTc: optimized geometry, PBE.

Results
Energy of formation from the pure elements = 46 kJ/mol of atoms
ΔE to the lowest computed polymorph = 0 meV/atom
SG = Pm-3m, No. 221
Crystal system = cubic
Density of states at the Fermi level = 1.23 states/eV per atom

Cell and atoms, written as POSCAR:
```
Ba3GaTc
1.0
5.8243 0.0000 0.0000
0.0000 5.8243 0.0000
0.0000 0.0000 5.8243
Ba Ga Tc
3 1 1
Direct
0.0000 0.0000 0.5000 Ba
0.0000 0.5000 0.0000 Ba
0.5000 0.0000 0.0000 Ba
0.5000 0.5000 0.5000 Ga
0.0000 0.0000 0.0000 Tc
```

=====

Entry 5:
TaTe2WN: optimized geometry, PBE.

Results
ΔE to the lowest computed polymorph = 0 meV/atom
SG = P4/mmm, No. 123
Crystal system = tetragonal
Formation energy from raw total energies = 808.8 meV per atom
Density of states at the Fermi level = 1.02 states/eV per atom

Cell and atoms, written as POSCAR:
```
TaTe2WN
1.0
5.4281 0.0000 0.0000
0.0000 5.4281 0.0000
0.0000 0.0000 3.7662
Ta Te W N
1 2 1 1
Direct
0.0000 0.0000 0.0000 Ta
0.0000 0.5000 0.5000 Te
0.5000 0.0000 0.5000 Te
0.5000 0.5000 0.5000 W
0.5000 0.5000 0.0000 N
```

=====

Entry 6:
TaV6Os: optimized geometry, PBE.

Results
Energy of formation from the pure elements = 9 kJ/mol of atoms
SG = R-3m, No. 166
Crystal system = trigonal
Density of states at the Fermi level = 1.15 states/eV per atom

Cell and atoms, written as POSCAR:
```
TaV6Os
1.0
4.4559 2.5726 1.7025
-4.4559 2.5726 1.7025
0.0000 -5.1453 1.7025
Ta V Os
1 6 1
Direct
0.0000 0.0000 0.0000 Ta
0.2509 0.2509 0.7436 V
0.2509 0.7436 0.2509 V
0.2564 0.7491 0.7491 V
0.7436 0.2509 0.2509 V
0.7491 0.2564 0.7491 V
0.7491 0.7491 0.2564 V
0.5000 0.5000 0.5000 Os
```

=====

Entry 7:
Tb12Y6Cd: optimized geometry, PBE.

Results
Energy of formation from the pure elements = 11 kJ/mol of atoms
SG = R-3, No. 148
Crystal system = trigonal
Density of states at the Fermi level = 1.65 states/eV per atom

Cell and atoms, written as POSCAR:
```
Tb12Y6Cd
1.0
5.9533 3.4372 4.9769
-5.9533 3.4372 4.9769
0.0000 -6.8743 4.9769
Tb Y Cd
12 6 1
Direct
0.0379 0.9340 0.2808 Tb
0.0660 0.7192 0.9621 Tb
0.1375 0.4836 0.3195 Tb
0.2808 0.0379 0.9340 Tb
0.3195 0.1375 0.4836 Tb
0.4836 0.3195 0.1375 Tb
0.5164 0.6805 0.8625 Tb
0.6805 0.8625 0.5164 Tb
0.7192 0.9621 0.0660 Tb
0.8625 0.5164 0.6805 Tb
0.9340 0.2808 0.0379 Tb
0.9621 0.0660 0.7192 Tb
0.2099 0.7619 0.5975 Y
0.2381 0.4025 0.7901 Y
0.4025 0.7901 0.2381 Y
0.5975 0.2099 0.7619 Y
0.7619 0.5975 0.2099 Y
0.7901 0.2381 0.4025 Y
0.5000 0.5000 0.5000 Cd
```

=====

Entry 8:
Sn3MoS: optimized geometry, PBE.

Results
ΔE to the lowest computed polymorph = 0 meV/atom
SG = Pm-3m, No. 221
Crystal system = cubic
Formation energy from raw total energies = 466.4 meV per atom
Density of states at the Fermi level = 1.02 states/eV per atom

Cell and atoms, written as POSCAR:
```
Sn3MoS
1.0
5.2478 0.0000 0.0000
0.0000 5.2478 0.0000
0.0000 0.0000 5.2478
Sn Mo S
3 1 1
Direct
0.0000 0.0000 0.5000 Sn
0.0000 0.5000 0.0000 Sn
0.5000 0.0000 0.0000 Sn
0.0000 0.0000 0.0000 Mo
0.5000 0.5000 0.5000 S
```

=====

Entry 9:
ThCd3Hg3: optimized geometry, PBE.

Results
Energy of formation from the pure elements = 54 kJ/mol of atoms
ΔE to the lowest computed polymorph = 583 meV/atom
SG = Pm-3n, No. 223
Crystal system = cubic
Density of states at the Fermi level = 1.07 states/eV per atom

Cell and atoms, written as POSCAR:
```
ThCd3Hg3
1.0
7.6442 0.0000 0.0000
0.0000 7.6442 0.0000
0.0000 0.0000 7.6442
Th Cd Hg
2 6 6
Direct
0.0000 0.0000 0.0000 Th
0.5000 0.5000 0.5000 Th
0.0000 0.2500 0.5000 Cd
0.0000 0.7500 0.5000 Cd
0.2500 0.5000 0.0000 Cd
0.5000 0.0000 0.2500 Cd
0.5000 0.0000 0.7500 Cd
0.7500 0.5000 0.0000 Cd
0.0000 0.5000 0.2500 Hg
0.0000 0.5000 0.7500 Hg
0.2500 0.0000 0.5000 Hg
0.5000 0.2500 0.0000 Hg
0.5000 0.7500 0.0000 Hg
0.7500 0.0000 0.5000 Hg
```

=====

Entry 10:
KGaN3: optimized geometry, PBE.

Results
SG = Pm-3m, No. 221
Crystal system = cubic
Formation energy from raw total energies = 2732.3 meV per atom
Density of states at the Fermi level = 0.47 states/eV per atom

Cell and atoms, written as POSCAR:
```
KGaN3
1.0
4.8600 0.0000 0.0000
0.0000 4.8600 0.0000
0.0000 0.0000 4.8600
K Ga N
1 1 3
Direct
0.0000 0.0000 0.0000 K
0.5000 0.5000 0.5000 Ga
0.0000 0.0000 0.5000 N
0.0000 0.5000 0.0000 N
0.5000 0.0000 0.0000 N
```

=====

Entry 11:
TbB: optimized geometry, PBE.

Results
Energy of formation from the pure elements = -37 kJ/mol of atoms
SG = P2_1/m, No. 11
Crystal system = monoclinic
Density of states at the Fermi level = 0.84 states/eV per atom

Cell and atoms, written as POSCAR:
```
TbB
1.0
3.5671 0.0000 0.0000
0.0000 3.1844 0.0000
-1.7790 0.0000 6.5419
Tb B
2 2
Direct
0.1249 0.2500 0.2497 Tb
0.8751 0.7500 0.7503 Tb
0.4780 0.2500 0.9552 B
0.5220 0.7500 0.0448 B
```

=====

Entry 12:
YAsO2F: optimized geometry, PBE.

Results
SG = P4/mmm, No. 123
Crystal system = tetragonal
Formation energy from raw total energies = -1629.8 meV per atom
Density of states at the Fermi level = 0.56 states/eV per atom

Cell and atoms, written as POSCAR:
```
YAsO2F
1.0
4.4396 0.0000 0.0000
0.0000 4.4396 0.0000
0.0000 0.0000 4.2250
Y As O F
1 1 2 1
Direct
0.0000 0.0000 0.0000 Y
0.5000 0.5000 0.5000 As
0.0000 0.5000 0.0000 O
0.5000 0.0000 0.0000 O
0.0000 0.0000 0.5000 F
```